--- one ---
Density functional theory data (PBE) for a geometry-optimized SbTe2RhS structure.

Spin magnetization   0.00 Bohr magnetons per cell
V   27.600 Å³ per atom

Cell: 5.1959 5.1959 5.1116 Å, 90.00 90.00 90.00°
Fractional positions:
1 Sb 0.0000 0.0000 0.0000
2 Te 0.0000 0.5000 0.5000
3 Te 0.5000 0.0000 0.5000
4 Rh 0.0000 0.0000 0.5000
5 S 0.5000 0.5000 0.0000



--- two ---
Density functional theory data (PBE) for a geometry-optimized SbTe2RhS structure.

Spin magnetization   0.58 Bohr magnetons per cell
V   26.775 Å³ per atom

Cell: 5.1064 5.1064 5.1343 Å, 90.00 90.00 90.00°
Fractional positions:
1 Sb 0.0000 0.0000 0.0000
2 Te 0.0000 0.5000 0.5000
3 Te 0.5000 0.0000 0.5000
4 Rh 0.5000 0.5000 0.0000
5 S 0.0000 0.0000 0.5000



Pick one: it beats the second-best structure by 361 meV/atom.



--- one ---
Density functional theory data (PBE) for a geometry-optimized Sb2TeRhS structure.

Spin magnetization   0.00 Bohr magnetons per cell
V   27.307 Å³ per atom

Cell: 5.1086 5.1086 5.2317 Å, 90.00 90.00 90.00°
Fractional positions:
1 Sb 0.0000 0.5000 0.0000
2 Sb 0.5000 0.0000 0.0000
3 Te 0.0000 0.0000 0.5000
4 Rh 0.0000 0.0000 0.0000
5 S 0.5000 0.5000 0.5000



--- two ---
Density functional theory data (PBE) for a geometry-optimized Sb2TeRhS structure.

Spin magnetization   0.00 Bohr magnetons per cell
V   25.531 Å³ per atom

Cell: 5.4256 5.4256 4.3365 Å, 90.00 90.00 90.00°
Fractional positions:
1 Sb 0.0000 0.5000 0.0000
2 Sb 0.5000 0.0000 0.0000
3 Te 0.0000 0.0000 0.5000
4 Rh 0.5000 0.5000 0.0000
5 S 0.5000 0.5000 0.5000



Pick two: it beats the second-best structure by 348 meV/atom.



--- one ---
Density functional theory data (PBE) for a geometry-optimized ScRhS2 structure.

Spin magnetization   0.00 Bohr magnetons per cell
V   19.813 Å³ per atom

Cell: 7.5891 7.5891 7.5891 Å, 142.83 142.83 53.58°
Fractional positions:
1 Sc 0.0000 0.0000 0.0000
2 Sc 0.7500 0.2500 0.5000
3 Rh 0.2500 0.7500 0.5000
4 Rh 0.5000 0.5000 0.0000
5 S 0.1575 0.6250 0.0325
6 S 0.3750 0.4075 0.5325
7 S 0.5925 0.1250 0.9675
8 S 0.8750 0.8425 0.4675



--- two ---
Density functional theory data (PBE) for a geometry-optimized ScRhS2 structure.

Spin magnetization   0.31 Bohr magnetons per cell
V   20.482 Å³ per atom

Cell: 7.8025 7.8025 7.8025 Å, 26.26 26.26 26.26°
Fractional positions:
1 Sc 0.0000 0.0000 0.0000
2 Rh 0.5000 0.5000 0.5000
3 S 0.3997 0.3997 0.3997
4 S 0.6003 0.6003 0.6003



--- three ---
Density functional theory data (PBE) for a geometry-optimized ScRhS2 structure.

Spin magnetization   1.17 Bohr magnetons per cell
V   15.515 Å³ per atom

Cell: 4.4440 4.4440 4.4440 Å, 60.00 60.00 60.00°
Fractional positions:
1 Sc 0.0000 0.0000 0.0000
2 Rh 0.5000 0.5000 0.5000
3 S 0.2500 0.2500 0.2500
4 S 0.7500 0.7500 0.7500



Pick one: it beats the second-best structure by 135 meV/atom.



--- one ---
Density functional theory data (PBE) for a geometry-optimized ScRh3S structure.

Spin magnetization   0.00 Bohr magnetons per cell
V   17.027 Å³ per atom

Cell: 4.3992 4.3992 4.3992 Å, 90.00 90.00 90.00°
Fractional positions:
1 Sc 0.0000 0.0000 0.0000
2 Rh 0.0000 0.5000 0.5000
3 Rh 0.5000 0.0000 0.5000
4 Rh 0.5000 0.5000 0.0000
5 S 0.5000 0.5000 0.5000



--- two ---
Density functional theory data (PBE) for a geometry-optimized ScRh3S structure.

Spin magnetization   1.81 Bohr magnetons per cell
V   20.346 Å³ per atom

Cell: 4.6682 4.6682 4.6682 Å, 90.00 90.00 90.00°
Fractional positions:
1 Sc 0.0000 0.0000 0.0000
2 Rh 0.0000 0.0000 0.5000
3 Rh 0.0000 0.5000 0.0000
4 Rh 0.5000 0.0000 0.0000
5 S 0.5000 0.5000 0.5000



Pick one: it beats the second-best structure by 1471 meV/atom.



--- one ---
Density functional theory data (PBE) for a geometry-optimized RhSeS structure.

Spin magnetization   0.00 Bohr magnetons per cell
V   18.556 Å³ per atom

Cell: 3.5904 3.5904 4.9863 Å, 90.00 90.00 120.00°
Fractional positions:
1 Rh 0.0000 0.0000 0.0000
2 Se 0.3333 0.6667 0.7195
3 S 0.6667 0.3333 0.2347



--- two ---
Density functional theory data (PBE) for a geometry-optimized RhSeS structure.

Spin magnetization   0.00 Bohr magnetons per cell
V   18.091 Å³ per atom

Cell: 3.7726 4.9058 5.8650 Å, 90.00 90.00 90.00°
Fractional positions:
1 Rh 0.0000 0.2356 0.0000
2 Rh 0.5000 0.7644 0.5000
3 Se 0.0000 0.4569 0.6164
4 Se 0.5000 0.5431 0.1164
5 S 0.0000 0.0376 0.3724
6 S 0.5000 0.9624 0.8724



Pick two: it beats the second-best structure by 35 meV/atom.



--- one ---
Density functional theory data (PBE) for a geometry-optimized Rh3SeS structure.

Spin magnetization   0.00 Bohr magnetons per cell
V   17.221 Å³ per atom

Cell: 4.4158 4.4158 4.4158 Å, 90.00 90.00 90.00°
Fractional positions:
1 Rh 0.0000 0.0000 0.5000
2 Rh 0.0000 0.5000 0.0000
3 Rh 0.5000 0.0000 0.0000
4 Se 0.5000 0.5000 0.5000
5 S 0.0000 0.0000 0.0000



--- two ---
Density functional theory data (PBE) for a geometry-optimized Rh3SeS structure.

Spin magnetization   0.00 Bohr magnetons per cell
V   19.183 Å³ per atom

Cell: 4.5775 4.5775 4.5775 Å, 90.00 90.00 90.00°
Fractional positions:
1 Rh 0.0000 0.0000 0.5000
2 Rh 0.0000 0.5000 0.0000
3 Rh 0.5000 0.0000 0.0000
4 Se 0.0000 0.0000 0.0000
5 S 0.5000 0.5000 0.5000



Pick one: it beats the second-best structure by 505 meV/atom.



--- one ---
Density functional theory data (PBE) for a geometry-optimized SrRhS3 structure.

Spin magnetization   1.42 Bohr magnetons per cell
V   21.434 Å³ per atom

Cell: 4.7500 4.7500 4.7500 Å, 90.00 90.00 90.00°
Fractional positions:
1 Sr 0.0000 0.0000 0.0000
2 Rh 0.5000 0.5000 0.5000
3 S 0.0000 0.5000 0.5000
4 S 0.5000 0.0000 0.5000
5 S 0.5000 0.5000 0.0000



--- two ---
Density functional theory data (PBE) for a geometry-optimized SrRhS3 structure.

Spin magnetization   5.00 Bohr magnetons per cell
V   33.085 Å³ per atom

Cell: 5.4895 5.4895 5.4895 Å, 90.00 90.00 90.00°
Fractional positions:
1 Sr 0.0000 0.0000 0.0000
2 Rh 0.5000 0.5000 0.5000
3 S 0.0000 0.0000 0.5000
4 S 0.0000 0.5000 0.0000
5 S 0.5000 0.0000 0.0000



Pick one: it beats the second-best structure by 1593 meV/atom.



--- one ---
Density functional theory data (PBE) for a geometry-optimized Ta3RhS structure.

Spin magnetization   0.00 Bohr magnetons per cell
V   22.326 Å³ per atom

Cell: 4.8150 4.8150 4.8150 Å, 90.00 90.00 90.00°
Fractional positions:
1 Ta 0.0000 0.0000 0.5000
2 Ta 0.0000 0.5000 0.0000
3 Ta 0.5000 0.0000 0.0000
4 Rh 0.0000 0.0000 0.0000
5 S 0.5000 0.5000 0.5000



--- two ---
Density functional theory data (PBE) for a geometry-optimized Ta3RhS structure.

Spin magnetization   0.00 Bohr magnetons per cell
V   18.206 Å³ per atom

Cell: 4.4984 4.4984 4.4984 Å, 90.00 90.00 90.00°
Fractional positions:
1 Ta 0.0000 0.0000 0.5000
2 Ta 0.0000 0.5000 0.0000
3 Ta 0.5000 0.0000 0.0000
4 Rh 0.5000 0.5000 0.5000
5 S 0.0000 0.0000 0.0000



Pick two: it beats the second-best structure by 954 meV/atom.



--- one ---
Density functional theory data (PBE) for a geometry-optimized TaRhS2 structure.

Spin magnetization   0.00 Bohr magnetons per cell
V   17.167 Å³ per atom

Cell: 8.0423 8.0423 8.0423 Å, 22.82 22.82 22.82°
Fractional positions:
1 Ta 0.0000 0.0000 0.0000
2 Rh 0.5000 0.5000 0.5000
3 S 0.4033 0.4033 0.4033
4 S 0.5967 0.5967 0.5967



--- two ---
Density functional theory data (PBE) for a geometry-optimized TaRhS2 structure.

Spin magnetization   0.00 Bohr magnetons per cell
V   14.403 Å³ per atom

Cell: 4.3352 4.3352 4.3352 Å, 60.00 60.00 60.00°
Fractional positions:
1 Ta 0.0000 0.0000 0.0000
2 Rh 0.5000 0.5000 0.5000
3 S 0.2500 0.2500 0.2500
4 S 0.7500 0.7500 0.7500



Pick one: it beats the second-best structure by 229 meV/atom.



--- one ---
Density functional theory data (PBE) for a geometry-optimized TcRh3S structure.

Spin magnetization   5.14 Bohr magnetons per cell
V   16.792 Å³ per atom

Cell: 4.3788 4.3788 4.3788 Å, 90.00 90.00 90.00°
Fractional positions:
1 Tc 0.0000 0.0000 0.0000
2 Rh 0.0000 0.5000 0.5000
3 Rh 0.5000 0.0000 0.5000
4 Rh 0.5000 0.5000 0.0000
5 S 0.5000 0.5000 0.5000



--- two ---
Density functional theory data (PBE) for a geometry-optimized TcRh3S structure.

Spin magnetization   0.00 Bohr magnetons per cell
V   20.303 Å³ per atom

Cell: 4.6649 4.6649 4.6649 Å, 90.00 90.00 90.00°
Fractional positions:
1 Tc 0.0000 0.0000 0.0000
2 Rh 0.0000 0.0000 0.5000
3 Rh 0.0000 0.5000 0.0000
4 Rh 0.5000 0.0000 0.0000
5 S 0.5000 0.5000 0.5000



Pick one: it beats the second-best structure by 882 meV/atom.



--- one ---
Density functional theory data (PBE) for a geometry-optimized TeRh2S structure.

Spin magnetization   0.00 Bohr magnetons per cell
V   20.513 Å³ per atom

Cell: 7.5704 7.5704 7.5704 Å, 141.89 141.89 55.00°
Fractional positions:
1 Te 0.0000 0.0000 0.0000
2 Te 0.7500 0.2500 0.5000
3 Rh 0.2062 0.6250 0.0812
4 Rh 0.3750 0.4562 0.5812
5 Rh 0.5438 0.1250 0.9188
6 Rh 0.8750 0.7938 0.4188
7 S 0.2500 0.7500 0.5000
8 S 0.5000 0.5000 0.0000



--- two ---
Density functional theory data (PBE) for a geometry-optimized TeRh2S structure.

Spin magnetization   0.00 Bohr magnetons per cell
V   16.411 Å³ per atom

Cell: 4.5279 4.5279 4.5279 Å, 60.00 60.00 60.00°
Fractional positions:
1 Te 0.0000 0.0000 0.0000
2 Rh 0.2500 0.2500 0.2500
3 Rh 0.7500 0.7500 0.7500
4 S 0.5000 0.5000 0.5000



--- three ---
Density functional theory data (PBE) for a geometry-optimized TeRh2S structure.

Spin magnetization   0.00 Bohr magnetons per cell
V   24.200 Å³ per atom

Cell: 6.4552 6.4552 6.4552 Å, 39.23 39.23 39.23°
Fractional positions:
1 Te 0.0000 0.0000 0.0000
2 Rh 0.3799 0.3799 0.3799
3 Rh 0.6201 0.6201 0.6201
4 S 0.5000 0.5000 0.5000



Pick one: it beats the second-best structure by 226 meV/atom.



--- one ---
Density functional theory data (PBE) for a geometry-optimized TeRh3S structure.

Spin magnetization   0.00 Bohr magnetons per cell
V   17.781 Å³ per atom

Cell: 4.4632 4.4632 4.4632 Å, 90.00 90.00 90.00°
Fractional positions:
1 Te 0.0000 0.0000 0.0000
2 Rh 0.0000 0.5000 0.5000
3 Rh 0.5000 0.0000 0.5000
4 Rh 0.5000 0.5000 0.0000
5 S 0.5000 0.5000 0.5000



--- two ---
Density functional theory data (PBE) for a geometry-optimized TeRh3S structure.

Spin magnetization   0.59 Bohr magnetons per cell
V   22.676 Å³ per atom

Cell: 4.8400 4.8400 4.8400 Å, 90.00 90.00 90.00°
Fractional positions:
1 Te 0.0000 0.0000 0.0000
2 Rh 0.0000 0.0000 0.5000
3 Rh 0.0000 0.5000 0.0000
4 Rh 0.5000 0.0000 0.0000
5 S 0.5000 0.5000 0.5000



Pick one: it beats the second-best structure by 1000 meV/atom.